(1)
# SrCeTaN4 | Alexandria | PBE | optimized geometry
# Fermi-level density of states = 5.2 states/eV/f.u.
# Raw total energy = -8.5022 eV/atom
# Calculated volume = 15.054 A^3/atom
data_SrCeTaN4
_symmetry_space_group_name_H-M 'P 1'
_symmetry_Int_Tables_number 1
_cell_length_a 7.024
_cell_length_b 7.024
_cell_length_c 5.735
_cell_angle_alpha 90.00
_cell_angle_beta 90.00
_cell_angle_gamma 131.86
loop_
_symmetry_equiv_pos_as_xyz
'x,y,z'
loop_
_atom_site_label
_atom_site_type_symbol
_atom_site_fract_x
_atom_site_fract_y
_atom_site_fract_z
Sr1 Sr 0.104 0.896 0.750
Sr2 Sr 0.896 0.104 0.250
Ce1 Ce 0.399 0.601 0.750
Ce2 Ce 0.601 0.399 0.250
Ta1 Ta 0.237 0.763 0.250
Ta2 Ta 0.763 0.237 0.750
N1 N 0.000 0.500 0.000
N2 N 0.000 0.500 0.500
N3 N 0.087 0.913 0.250
N4 N 0.440 0.560 0.250
N5 N 0.500 0.000 0.000
N6 N 0.500 0.000 0.500
N7 N 0.560 0.440 0.750
N8 N 0.913 0.087 0.750

=====

(2)
# Sr2CeTaN4 | Alexandria | PBE | optimized geometry
# Fermi-level density of states = 3.2 states/eV/f.u.
# Raw total energy = -7.9031 eV/atom
# Calculated volume = 15.131 A^3/atom
data_Sr2CeTaN4
_symmetry_space_group_name_H-M 'P 1'
_symmetry_Int_Tables_number 1
_cell_length_a 7.000
_cell_length_b 7.000
_cell_length_c 7.000
_cell_angle_alpha 121.59
_cell_angle_beta 118.50
_cell_angle_gamma 89.94
loop_
_symmetry_equiv_pos_as_xyz
'x,y,z'
loop_
_atom_site_label
_atom_site_type_symbol
_atom_site_fract_x
_atom_site_fract_y
_atom_site_fract_z
Sr1 Sr 0.000 0.000 0.000
Sr2 Sr 0.500 0.000 0.000
Sr3 Sr 0.500 0.000 0.500
Sr4 Sr 0.500 0.500 0.500
Ce1 Ce 0.000 0.500 0.500
Ce2 Ce 0.500 0.500 0.000
Ta1 Ta 0.000 0.000 0.500
Ta2 Ta 0.000 0.500 0.000
N1 N 0.198 0.743 0.455
N2 N 0.212 0.257 0.955
N3 N 0.217 0.237 0.520
N4 N 0.217 0.697 0.980
N5 N 0.783 0.303 0.020
N6 N 0.783 0.763 0.480
N7 N 0.788 0.743 0.045
N8 N 0.802 0.257 0.545

=====

(3)
# SrTbCe2N4 | Alexandria | PBE | optimized geometry
# Fermi-level density of states = 4.8 states/eV/f.u.
# Raw total energy = -7.7794 eV/atom
# Calculated volume = 16.462 A^3/atom
data_SrTbCe2N4
_symmetry_space_group_name_H-M 'P 1'
_symmetry_Int_Tables_number 1
_cell_length_a 7.197
_cell_length_b 7.197
_cell_length_c 7.197
_cell_angle_alpha 120.11
_cell_angle_beta 120.02
_cell_angle_gamma 89.89
loop_
_symmetry_equiv_pos_as_xyz
'x,y,z'
loop_
_atom_site_label
_atom_site_type_symbol
_atom_site_fract_x
_atom_site_fract_y
_atom_site_fract_z
Sr1 Sr 0.500 0.000 0.000
Sr2 Sr 0.500 0.500 0.500
Tb1 Tb 0.000 0.000 0.000
Tb2 Tb 0.500 0.000 0.500
Ce1 Ce 0.000 0.000 0.500
Ce2 Ce 0.000 0.500 0.000
Ce3 Ce 0.000 0.500 0.500
Ce4 Ce 0.500 0.500 0.000
N1 N 0.221 0.747 0.474
N2 N 0.227 0.253 0.974
N3 N 0.240 0.240 0.500
N4 N 0.240 0.740 0.000
N5 N 0.760 0.260 0.000
N6 N 0.760 0.760 0.500
N7 N 0.773 0.747 0.026
N8 N 0.779 0.253 0.526

=====

(4)
# SrCe2TcN4 | Alexandria | PBE | optimized geometry
# Fermi-level density of states = 4.1 states/eV/f.u.
# Raw total energy = -8.1175 eV/atom
# Calculated volume = 16.546 A^3/atom
data_SrCe2TcN4
_symmetry_space_group_name_H-M 'P 1'
_symmetry_Int_Tables_number 1
_cell_length_a 6.272
_cell_length_b 6.272
_cell_length_c 12.352
_cell_angle_alpha 90.00
_cell_angle_beta 90.00
_cell_angle_gamma 146.98
loop_
_symmetry_equiv_pos_as_xyz
'x,y,z'
loop_
_atom_site_label
_atom_site_type_symbol
_atom_site_fract_x
_atom_site_fract_y
_atom_site_fract_z
Sr1 Sr 0.078 0.922 0.750
Sr2 Sr 0.922 0.078 0.250
Ce1 Ce 0.367 0.633 0.548
Ce2 Ce 0.367 0.633 0.952
Ce3 Ce 0.633 0.367 0.048
Ce4 Ce 0.633 0.367 0.452
Tc1 Tc 0.181 0.819 0.250
Tc2 Tc 0.819 0.181 0.750
N1 N 0.000 0.000 0.000
N2 N 0.000 0.000 0.500
N3 N 0.253 0.747 0.108
N4 N 0.253 0.747 0.392
N5 N 0.407 0.593 0.750
N6 N 0.593 0.407 0.250
N7 N 0.747 0.253 0.608
N8 N 0.747 0.253 0.892

=====

(5)
# Sr3Ce2ThN6 | Alexandria | PBE | optimized geometry
# Raw total energy = -7.4274 eV/atom
# Calculated volume = 17.726 A^3/atom
data_Sr3Ce2ThN6
_symmetry_space_group_name_H-M 'P 1'
_symmetry_Int_Tables_number 1
_cell_length_a 6.377
_cell_length_b 6.377
_cell_length_c 6.402
_cell_angle_alpha 99.54
_cell_angle_beta 99.54
_cell_angle_gamma 120.01
loop_
_symmetry_equiv_pos_as_xyz
'x,y,z'
loop_
_atom_site_label
_atom_site_type_symbol
_atom_site_fract_x
_atom_site_fract_y
_atom_site_fract_z
Sr1 Sr 0.000 0.000 0.000
Sr2 Sr 0.331 0.669 0.000
Sr3 Sr 0.669 0.331 0.000
Ce1 Ce 0.166 0.834 0.500
Ce2 Ce 0.834 0.166 0.500
Th1 Th 0.500 0.500 0.500
N1 N 0.094 0.431 0.293
N2 N 0.232 0.232 0.707
N3 N 0.431 0.094 0.293
N4 N 0.569 0.906 0.707
N5 N 0.768 0.768 0.293
N6 N 0.906 0.569 0.707

=====

(6)
# Sr3CeTh2N6 | Alexandria | PBE | optimized geometry
# Raw total energy = -7.5930 eV/atom
# Calculated volume = 18.095 A^3/atom
data_Sr3CeTh2N6
_symmetry_space_group_name_H-M 'P 1'
_symmetry_Int_Tables_number 1
_cell_length_a 6.426
_cell_length_b 6.426
_cell_length_c 6.439
_cell_angle_alpha 99.56
_cell_angle_beta 99.56
_cell_angle_gamma 120.01
loop_
_symmetry_equiv_pos_as_xyz
'x,y,z'
loop_
_atom_site_label
_atom_site_type_symbol
_atom_site_fract_x
_atom_site_fract_y
_atom_site_fract_z
Sr1 Sr 0.000 0.000 0.000
Sr2 Sr 0.335 0.665 0.000
Sr3 Sr 0.665 0.335 0.000
Ce1 Ce 0.500 0.500 0.500
Th1 Th 0.167 0.833 0.500
Th2 Th 0.833 0.167 0.500
N1 N 0.101 0.431 0.292
N2 N 0.240 0.240 0.708
N3 N 0.431 0.101 0.292
N4 N 0.569 0.899 0.708
N5 N 0.760 0.760 0.292
N6 N 0.899 0.569 0.708

=====

(7)
# Sr4Ce3TiN8 | Alexandria | PBE | optimized geometry
# Raw total energy = -7.3089 eV/atom
# Calculated volume = 16.242 A^3/atom
data_Sr4Ce3TiN8
_symmetry_space_group_name_H-M 'P 1'
_symmetry_Int_Tables_number 1
_cell_length_a 7.227
_cell_length_b 7.227
_cell_length_c 7.227
_cell_angle_alpha 58.85
_cell_angle_beta 58.85
_cell_angle_gamma 58.85
loop_
_symmetry_equiv_pos_as_xyz
'x,y,z'
loop_
_atom_site_label
_atom_site_type_symbol
_atom_site_fract_x
_atom_site_fract_y
_atom_site_fract_z
Sr1 Sr 0.000 0.000 0.000
Sr2 Sr 0.000 0.500 0.500
Sr3 Sr 0.500 0.000 0.500
Sr4 Sr 0.500 0.500 0.000
Ce1 Ce 0.000 0.000 0.500
Ce2 Ce 0.000 0.500 0.000
Ce3 Ce 0.500 0.000 0.000
Ti1 Ti 0.500 0.500 0.500
N1 N 0.236 0.236 0.236
N2 N 0.253 0.724 0.724
N3 N 0.276 0.276 0.747
N4 N 0.276 0.747 0.276
N5 N 0.724 0.253 0.724
N6 N 0.724 0.724 0.253
N7 N 0.747 0.276 0.276
N8 N 0.764 0.764 0.764

=====

(8)
# SrCe2UN4 | Alexandria | PBE | optimized geometry
# Fermi-level density of states = 10.3 states/eV/f.u.
# Raw total energy = -8.5031 eV/atom
# Calculated volume = 16.265 A^3/atom
data_SrCe2UN4
_symmetry_space_group_name_H-M 'P 1'
_symmetry_Int_Tables_number 1
_cell_length_a 5.068
_cell_length_b 5.068
_cell_length_c 10.131
_cell_angle_alpha 90.00
_cell_angle_beta 90.00
_cell_angle_gamma 90.00
loop_
_symmetry_equiv_pos_as_xyz
'x,y,z'
loop_
_atom_site_label
_atom_site_type_symbol
_atom_site_fract_x
_atom_site_fract_y
_atom_site_fract_z
Sr1 Sr 0.000 0.000 0.000
Sr2 Sr 0.500 0.500 0.500
Ce1 Ce 0.000 0.000 0.500
Ce2 Ce 0.000 0.500 0.250
Ce3 Ce 0.500 0.000 0.750
Ce4 Ce 0.500 0.500 0.000
U1 U 0.000 0.500 0.750
U2 U 0.500 0.000 0.250
N1 N 0.000 0.000 0.263
N2 N 0.000 0.000 0.737
N3 N 0.000 0.500 0.537
N4 N 0.000 0.500 0.963
N5 N 0.500 0.000 0.037
N6 N 0.500 0.000 0.463
N7 N 0.500 0.500 0.237
N8 N 0.500 0.500 0.763